1.
# Zr8HC4N3 | Alexandria via LeMat-Bulk | PBE | optimized geometry
# Density, Mg/m³: 6.66
# Electronic total energy, eV per atom: -9.500
data_Zr8HC4N3
_chemical_formula_sum 'Zr24 H3 C12 N9'
_space_group_name_H-M_alt 'R -3 m'
_space_group_IT_number 166
_space_group_name_Hall '-R 3 2"'
_cell_length_a 6.6241
_cell_length_b 6.6241
_cell_length_c 16.1630
_cell_angle_alpha 90.00
_cell_angle_beta 90.00
_cell_angle_gamma 120.00
loop_
_atom_site_label
_atom_site_type_symbol
_atom_site_fract_x
_atom_site_fract_y
_atom_site_fract_z
Zr1 Zr 0.0000 0.0000 0.2484
Zr2 Zr 0.0096 0.5048 0.2477
H1 H 0.0000 0.0000 0.0000
C1 C 0.0000 0.0000 0.5000
C2 C 0.0000 0.5000 0.5000
N1 N 0.0000 0.5000 0.0000

---

2.
# KSr2Tc | Alexandria via LeMat-Bulk | PBE | optimized geometry
# Distance to the lowest polymorph of the same formula, eV/atom: 0.151
# Density, Mg/m³: 3.23
# Energy relative to the elements, eV/f.u.: 3.1
# Electronic total energy, eV per atom: -2.937
data_KSr2Tc
_chemical_formula_sum 'K3 Sr6 Tc3'
_space_group_name_H-M_alt 'R -3 m'
_space_group_IT_number 166
_space_group_name_Hall '-R 3 2"'
_cell_length_a 3.8896
_cell_length_b 3.8896
_cell_length_c 36.7508
_cell_angle_alpha 90.00
_cell_angle_beta 90.00
_cell_angle_gamma 120.00
loop_
_atom_site_label
_atom_site_type_symbol
_atom_site_fract_x
_atom_site_fract_y
_atom_site_fract_z
K1 K 0.0000 0.0000 0.0000
Sr1 Sr 0.0000 0.0000 0.2228
Tc1 Tc 0.0000 0.0000 0.5000

---

3.
# AcPr3Rh3 | Alexandria via LeMat-Bulk | PBE | optimized geometry
# Distance to the lowest polymorph of the same formula, eV/atom: 0.000
# Density, Mg/m³: 7.80
# Energy relative to the elements, eV/f.u.: -3.9
# Electronic total energy, eV per atom: -6.336
data_AcPr3Rh3
_chemical_formula_sum 'Ac4 Pr12 Rh12'
_space_group_name_H-M_alt 'P 42/m n m'
_space_group_IT_number 136
_space_group_name_Hall '-P 4n 2n'
_cell_length_a 11.8683
_cell_length_b 11.8683
_cell_length_c 5.7973
_cell_angle_alpha 90.00
_cell_angle_beta 90.00
_cell_angle_gamma 90.00
loop_
_atom_site_label
_atom_site_type_symbol
_atom_site_fract_x
_atom_site_fract_y
_atom_site_fract_z
Ac1 Ac 0.1258 0.1258 0.0000
Pr1 Pr 0.1144 0.6266 0.0000
Pr2 Pr 0.1323 0.8677 0.5000
Rh1 Rh 0.1215 0.8785 0.0000
Rh2 Rh 0.1253 0.6290 0.5000

---

4.
# NaVTe | Alexandria via LeMat-Bulk | PBE | optimized geometry
# Density, Mg/m³: 5.07
# Electronic total energy, eV per atom: -4.784
data_NaVTe
_chemical_formula_sum 'Na2 V2 Te2'
_space_group_name_H-M_alt 'P 4/n m m'
_space_group_IT_number 129
_cell_length_a 4.0992
_cell_length_b 4.0992
_cell_length_c 7.8611
_cell_angle_alpha 90.00
_cell_angle_beta 90.00
_cell_angle_gamma 90.00
loop_
_space_group_symop_operation_xyz
'x,y,z'
'-x,-y,-z'
'-y+1/2,x,z'
'y+1/2,-x,-z'
'-x+1/2,-y+1/2,z'
'x+1/2,y+1/2,-z'
'y,-x+1/2,z'
'-y,x+1/2,-z'
'x+1/2,-y,-z'
'-x+1/2,y,z'
'-y,-x,-z'
'y,x,z'
'-x,y+1/2,-z'
'x,-y+1/2,z'
'y+1/2,x+1/2,-z'
'-y+1/2,-x+1/2,z'
loop_
_atom_site_label
_atom_site_type_symbol
_atom_site_fract_x
_atom_site_fract_y
_atom_site_fract_z
Na1 Na 0.2500 0.2500 0.1515
V1 V 0.2500 0.7500 0.5000
Te1 Te 0.2500 0.2500 0.7266

---

5.
# SrIr2 | Alexandria via LeMat-Bulk | PBE | optimized geometry
# Density, Mg/m³: 12.36
# Energy relative to the elements, eV/f.u.: 0.2
# Electronic total energy, eV per atom: -6.402
data_SrIr2
_chemical_formula_sum 'Sr4 Ir8'
_space_group_name_H-M_alt 'C m c 21'
_space_group_IT_number 36
_space_group_name_Hall 'C 2c -2'
_cell_length_a 2.8994
_cell_length_b 11.4518
_cell_length_c 7.6370
_cell_angle_alpha 90.00
_cell_angle_beta 90.00
_cell_angle_gamma 90.00
loop_
_atom_site_label
_atom_site_type_symbol
_atom_site_fract_x
_atom_site_fract_y
_atom_site_fract_z
Sr1 Sr 0.0000 0.1873 0.0000
Ir1 Ir 0.0000 0.0753 0.6013
Ir2 Ir 0.0000 0.4558 0.8231

---

6.
# PaGaTe | Alexandria via LeMat-Bulk | PBE | optimized geometry
# Distance to the lowest polymorph of the same formula, eV/atom: 0.000
# Density, Mg/m³: 9.44
# Electronic total energy, eV per atom: -5.827
data_PaGaTe
_chemical_formula_sum 'Pa4 Ga4 Te4'
_space_group_name_H-M_alt 'I 4/m m m'
_space_group_IT_number 139
_space_group_name_Hall '-I 4 2'
_cell_length_a 4.2289
_cell_length_b 4.2289
_cell_length_c 16.8468
_cell_angle_alpha 90.00
_cell_angle_beta 90.00
_cell_angle_gamma 90.00
loop_
_atom_site_label
_atom_site_type_symbol
_atom_site_fract_x
_atom_site_fract_y
_atom_site_fract_z
Pa1 Pa 0.0000 0.0000 0.1280
Ga1 Ga 0.0000 0.5000 0.0000
Te1 Te 0.0000 0.0000 0.3223